[1]
This record from Alexandria via LeMat-Bulk describes a geometry-optimized Pu2GeRh2 structure. The functional is PBE.

Structure (extended XYZ):
```
5
Lattice="-2.178 2.816 4.059 2.178 -2.816 4.059 2.178 2.816 -4.059" Properties=species:S:1:pos:R:3 pbc="T T T"
Pu 0.000 0.000 1.637
Pu 0.000 0.000 6.481
Ge 0.000 2.816 0.000
Rh 2.178 1.354 0.000
Rh 0.000 1.462 4.059
```

Output
- Space group: Immm

=====

[2]
This record from Alexandria via LeMat-Bulk describes a geometry-optimized Pu3GeRh3 structure. The functional is PBE.

Structure (extended XYZ):
```
14
Lattice="7.379 0.000 0.000 0.000 4.868 0.000 -3.638 0.000 7.457" Properties=species:S:1:pos:R:3 pbc="T T T"
Pu -1.214 1.217 2.877
Pu 1.032 3.651 0.548
Pu 0.001 3.651 6.444
Pu 3.740 1.217 1.013
Pu 2.709 1.217 6.909
Pu 4.956 3.651 4.580
Ge -1.763 1.217 6.093
Ge 5.504 3.651 1.365
Rh 0.269 3.651 3.180
Rh 1.504 1.217 2.307
Rh 0.573 1.217 4.981
Rh 3.168 3.651 2.476
Rh 2.238 3.651 5.151
Rh 3.472 1.217 4.277
```

Output
- Space group: P2_1/m

=====

[3]
This record from Alexandria via LeMat-Bulk describes a geometry-optimized Pu2GeRh6 structure. The functional is PBE.

Structure (extended XYZ):
```
9
Lattice="5.589 0.000 0.000 -2.795 4.841 0.000 0.000 0.000 5.722" Properties=species:S:1:pos:R:3 pbc="T T T"
Pu 0.000 3.227 1.838
Pu 2.795 1.614 3.884
Ge 0.000 0.000 2.861
Rh 0.000 1.684 4.657
Rh -1.337 3.999 4.657
Rh 1.458 0.842 1.065
Rh 1.337 3.999 4.657
Rh 4.131 0.842 1.065
Rh 2.795 3.157 1.065
```

Output
- Space group: P-3m1

=====

[4]
This record from Alexandria via LeMat-Bulk describes a geometry-optimized Pu2GeRh2 structure. The functional is PBE.

Structure (extended XYZ):
```
10
Lattice="4.863 -2.738 0.000 4.863 2.738 0.000 -1.894 0.000 7.520" Properties=species:S:1:pos:R:3 pbc="T T T"
Pu 1.138 0.792 1.122
Pu 0.191 -0.792 4.882
Pu 7.642 0.792 2.638
Pu 6.695 -0.792 6.398
Ge 4.390 0.845 1.880
Ge 3.443 -0.845 5.640
Rh 2.635 0.712 3.764
Rh 3.582 -0.712 0.004
Rh 4.251 0.712 7.516
Rh 5.198 -0.712 3.756
```

Output
- Space group: C2/c

=====

[5]
This record from Alexandria via LeMat-Bulk describes a geometry-optimized PuGe2Rh4 structure. The functional is PBE.

Structure (extended XYZ):
```
7
Lattice="-1.964 1.964 8.555 1.964 -1.964 8.555 1.964 1.964 -8.555" Properties=species:S:1:pos:R:3 pbc="T T T"
Pu 0.000 0.000 0.000
Ge 0.000 0.000 5.927
Ge 0.000 0.000 11.183
Rh 0.000 0.000 2.291
Rh 1.964 0.000 4.277
Rh 0.000 1.964 4.277
Rh 0.000 0.000 14.818
```

Output
- Space group: I4/mmm

=====

[6]
This record from Alexandria via LeMat-Bulk describes a geometry-optimized Pu5GeRh2 structure. The functional is PBE.

Structure (extended XYZ):
```
16
Lattice="-3.799 3.799 6.329 3.799 -3.799 6.329 3.799 3.799 -6.329" Properties=species:S:1:pos:R:3 pbc="T T T"
Pu 0.000 0.000 0.000
Pu 5.049 1.250 -1.894
Pu 1.250 2.550 -1.894
Pu 5.049 1.250 1.894
Pu 1.250 2.550 1.894
Pu 0.000 0.000 6.329
Pu 2.550 1.250 4.435
Pu -1.250 2.550 4.435
Pu 2.550 1.250 8.223
Pu -1.250 2.550 8.223
Ge 0.000 0.000 3.165
Ge 0.000 0.000 9.494
Rh 2.784 1.016 0.000
Rh 2.784 -1.016 6.329
Rh 1.016 4.815 0.000
Rh 1.016 2.784 6.329
```

Output
- Space group: I4/mcm

=====

[7]
This record from Alexandria via LeMat-Bulk describes a geometry-optimized Pu4Ge12Rh structure. The functional is PBE.

Structure (extended XYZ):
```
17
Lattice="-4.333 4.333 4.333 4.333 -4.333 4.333 4.333 4.333 -4.333" Properties=species:S:1:pos:R:3 pbc="T T T"
Pu 2.167 2.167 -2.167
Pu 2.167 -2.167 2.167
Pu -2.167 2.167 2.167
Pu 2.167 2.167 2.167
Ge 2.541 0.000 0.000
Ge 6.125 0.000 0.000
Ge 4.333 2.167 0.000
Ge 4.333 0.000 2.167
Ge 0.000 2.541 0.000
Ge 0.000 0.000 2.541
Ge 2.167 4.333 0.000
Ge 2.167 0.000 4.333
Ge 0.000 6.125 0.000
Ge 0.000 0.000 6.125
Ge 0.000 4.333 2.167
Ge 0.000 2.167 4.333
Rh 0.000 0.000 0.000
```

Output
- Space group: Im-3m

=====

[8]
This record from Alexandria via LeMat-Bulk describes a geometry-optimized PuGe3Rh3 structure. The functional is PBE.

Structure (extended XYZ):
```
14
Lattice="6.712 0.000 0.000 0.000 6.712 0.000 0.000 0.000 6.712" Properties=species:S:1:pos:R:3 pbc="T T T"
Pu 0.000 0.000 0.000
Pu 3.356 3.356 3.356
Ge 0.000 1.678 3.356
Ge 0.000 5.034 3.356
Ge 1.678 3.356 0.000
Ge 3.356 0.000 1.678
Ge 3.356 0.000 5.034
Ge 5.034 3.356 0.000
Rh 0.000 3.356 1.678
Rh 0.000 3.356 5.034
Rh 1.678 0.000 3.356
Rh 3.356 1.678 0.000
Rh 3.356 5.034 0.000
Rh 5.034 0.000 3.356
```

Output
- Space group: Pm-3n

=====

[9]
This record from Alexandria via LeMat-Bulk describes a geometry-optimized Pu4Ge3Rh structure. The functional is PBE.

Structure (extended XYZ):
```
8
Lattice="4.127 0.000 0.000 0.000 4.519 0.000 0.000 0.000 8.957" Properties=species:S:1:pos:R:3 pbc="T T T"
Pu 0.000 0.000 0.000
Pu 0.000 0.000 4.479
Pu 0.000 2.260 2.163
Pu 0.000 2.260 6.794
Ge 2.064 0.000 2.149
Ge 2.064 0.000 6.808
Ge 2.064 2.260 4.479
Rh 2.064 2.260 0.000
```

Output
- Space group: Pmmm
- Energy relative to the lowest polymorph listed for this composition: 49 meV per atom

=====

[10]
This record from Alexandria via LeMat-Bulk describes a geometry-optimized Pu6GeRh2 structure. The functional is PBE.

Structure (extended XYZ):
```
9
Lattice="7.797 0.000 0.000 -3.899 6.753 0.000 0.000 0.000 2.813" Properties=species:S:1:pos:R:3 pbc="T T T"
Pu -1.266 2.192 0.222
Pu -2.633 4.561 2.591
Pu 2.531 0.000 0.222
Pu 1.266 2.192 2.591
Pu 5.266 0.000 2.591
Pu 2.633 4.561 0.222
Ge 0.000 0.000 1.406
Rh 0.000 4.502 1.406
Rh 3.899 2.251 1.406
```

Output
- Space group: P-31m

=====

[11]
This record from Alexandria via LeMat-Bulk describes a geometry-optimized Pu2GeRuRh structure. The functional is PBE.

Structure (extended XYZ):
```
10
Lattice="6.731 0.000 0.000 0.000 4.237 0.000 -1.637 0.000 6.962" Properties=species:S:1:pos:R:3 pbc="T T T"
Pu 0.106 1.059 2.561
Pu 0.449 1.059 6.637
Pu 4.646 3.178 0.325
Pu 4.989 3.178 4.401
Ge 2.454 3.178 2.437
Ge 2.640 1.059 4.525
Ru 0.760 3.178 0.601
Ru 4.334 1.059 6.361
Rh 1.185 3.178 4.671
Rh 3.909 1.059 2.291
```

Output
- Space group: P2_1/m

=====

[12]
This record from Alexandria via LeMat-Bulk describes a geometry-optimized PuGe2RuRh structure. The functional is PBE.

Structure (extended XYZ):
```
5
Lattice="-2.095 2.095 5.159 2.095 -2.095 5.159 2.095 2.095 -5.159" Properties=species:S:1:pos:R:3 pbc="T T T"
Pu 0.000 0.000 0.000
Ge 0.000 0.000 3.857
Ge 0.000 0.000 6.460
Ru 2.095 0.000 2.579
Rh 0.000 2.095 2.579
```

Output
- Space group: I-4m2

=====

no.,size of the total moment (μB/f.u.),V (A^3/atom),ΔH_f (0 K) (eV per atom)
1,9.87,19.9,-0.567
2,5.02,19.1,-0.374
3,7.56,17.2,-0.439
4,10.68,20.0,-0.592
5,3.79,18.8,-0.258
6,27.82,22.8,-0.374
7,22.00,19.1,-0.376
8,5.95,21.6,-0.178
9,0.10,20.9,-0.361
10,0.00,16.5,0.118
11,10.18,19.9,-0.372
12,5.46,18.1,-0.594